Ca2ZnPt2 | PBEsol | relaxed Values from VASP.

Properties
ρ	7.861	g/cm3
ΔH_f (0 K)	-360	meV/atom
DFT total energy	-4.3148	eV/atom

```
&SYSTEM
  ibrav = 0, nat = 5, ntyp = 3
/
ATOMIC_SPECIES
Zn 65.41 Zn.upf
Ca 40.08 Ca.upf
Pt 195.08 Pt.upf
CELL_PARAMETERS angstrom
-1.1221 -0.7709 3.4955
3.5789 -0.1749 1.1103
-1.3682 8.3339 -0.6141
ATOMIC_POSITIONS crystal
Zn 0.0000 0.0000 0.0000
Ca 0.3867 0.3867 0.7734
Ca 0.6133 0.6133 0.2266
Pt 0.2500 0.7500 0.5000
Pt 0.7500 0.2500 0.5000
```